The following is a DFT calculation (PBE) of Ir2OsPt after structural relaxation.

a b c (Å): 2.748 3.867 5.551
angles (deg): 90.00 90.00 90.00
Fractional positions:
Ir 0.000 0.000 0.011
Ir 0.000 0.000 0.489
Os 0.500 0.500 0.250
Pt 0.500 0.500 0.750

Computed properties:
The calculation puts the formation energy from the elements at 0.2 eV per formula unit. Its space-group type is Pmmm, No. 47. Its relative energy among the computed polymorphs is 51 meV per atom. Its spin magnetization is 0.0 μB/f.u.